Entry 1:
VASP calculation (PBE) on a geometry-optimized NdDy12Y5 structure.

Properties
Calculated volume: 573.10 Å³/cell
Formation energy: 0.021 eV/atom
Spin magnetization: 0.00 μB per formula unit
N(E_F): 25.3 states/eV/cell

Cell: 15.0821 10.6731 5.0310 Å, 90.00 90.00 45.05°
Closest atoms and distances in Å follow each position.
Fractional positions:
Y1 0.1674 0.6653 0.5000  2 Y 3.55, 8 Dy 3.56-3.58, 2 Nd 3.57
Dy1 0.5008 0.3329 0.5001  8 Dy 3.53-3.56, 4 Y 3.56
Dy2 0.1683 0.0000 0.4999  8 Dy 3.53-3.56, 2 Nd 3.57, 2 Y 3.58
Dy3 0.8337 0.6671 0.5001  8 Dy 3.53-3.56, 4 Y 3.56
Y2 0.3335 0.3330 0.0000  4 Y 3.55-3.56, 8 Dy 3.56-3.57
Dy4 0.6673 0.0000 0.0001  8 Dy 3.53-3.56, 4 Y 3.56
Dy5 0.1663 0.3329 0.4999  8 Dy 3.53-3.56, 4 Y 3.56
Dy6 0.0010 0.3341 0.9999  8 Dy 3.52-3.56, 3 Y 3.57, 1 Nd 3.58
Dy7 0.6649 0.3341 0.0001  8 Dy 3.52-3.56, 3 Y 3.57, 1 Nd 3.58
Dy8 0.8317 0.0000 0.5001  8 Dy 3.53-3.56, 2 Nd 3.57, 2 Y 3.58
Dy9 0.9990 0.6659 0.0001  8 Dy 3.52-3.56, 3 Y 3.57, 1 Nd 3.58
Dy10 0.3327 0.0000 0.9999  8 Dy 3.53-3.56, 4 Y 3.56
Y3 0.6665 0.6671 0.0000  4 Y 3.55-3.56, 8 Dy 3.56-3.57
Dy11 0.3351 0.6659 0.9999  8 Dy 3.52-3.56, 3 Y 3.57, 1 Nd 3.58
Nd1 0.0000 0.0000 0.0000  4 Y 3.57, 8 Dy 3.57-3.58
Y4 0.8327 0.3347 0.5000  2 Y 3.55, 8 Dy 3.56-3.58, 2 Nd 3.57
Y5 0.5000 0.0000 0.5000  4 Y 3.56, 8 Dy 3.56
Dy12 0.4992 0.6671 0.4999  8 Dy 3.53-3.56, 4 Y 3.56

Entry 2:
VASP calculation (PBE) on a geometry-optimized Nd3Dy3Y8 structure.

Properties
Calculated volume: 467.18 Å³/cell
Formation energy: 0.112 eV/atom
Spin magnetization: 0.00 μB per formula unit
N(E_F): 23.8 states/eV/cell

Cell: 5.6982 9.7328 9.7326 Å, 102.06 72.98 72.98°
Closest atoms and distances in Å follow each position.
Fractional positions:
Y1 0.3401 0.4395 0.8803  6 Y 3.33-3.57, 2 Nd 3.65, 1 Dy 3.65
Y2 0.6599 0.5605 0.1197  6 Y 3.33-3.57, 2 Nd 3.65, 1 Dy 3.65
Nd1 0.0000 0.1822 0.8178  2 Dy 3.53, 8 Y 3.65-3.73
Y3 0.6599 0.1197 0.5605  6 Y 3.33-3.57, 2 Nd 3.65, 1 Dy 3.65
Y4 0.8415 0.5560 0.7610  5 Y 3.10-3.43
Dy1 0.7976 0.2028 0.2028  1 Dy 3.22, 4 Nd 3.53-3.60, 4 Y 3.57-3.58
Dy2 0.2024 0.7972 0.7972  1 Dy 3.22, 4 Nd 3.53-3.60, 4 Y 3.57-3.58
Y5 0.1585 0.4440 0.2390  5 Y 3.10-3.43
Y6 0.1585 0.2390 0.4440  5 Y 3.10-3.43
Y7 0.3401 0.8803 0.4395  6 Y 3.33-3.57, 2 Nd 3.65, 1 Dy 3.65
Nd2 0.0000 0.8178 0.1822  2 Dy 3.53, 8 Y 3.65-3.73
Dy3 0.5000 0.5000 0.5000  2 Dy 3.22
Nd3 0.5000 0.0000 0.0000  4 Dy 3.60, 4 Nd 3.97, 4 Y 4.01
Y8 0.8415 0.7610 0.5560  5 Y 3.10-3.43

Entry 3:
VASP calculation (PBE) on a geometry-optimized Nd4Dy5Y structure.

Properties
Calculated volume: 332.50 Å³/cell
Formation energy: 0.106 eV/atom
Spin magnetization: 0.00 μB per formula unit
N(E_F): 19.9 states/eV/cell
Energy above the lowest structure with this stoichiometry: 0.000 eV per atom

Cell: 4.2099 4.2099 18.7613 Å, 90.00 90.00 90.00°
Closest atoms and distances in Å follow each position.
Fractional positions:
Dy1 0.5000 0.5000 0.7009  8 Nd 3.51-3.52, 2 Dy 3.77-3.78
Nd1 0.0000 0.0000 0.1999  8 Dy 3.51-3.54, 1 Nd 3.73, 1 Y 3.75
Dy2 0.5000 0.5000 0.0977  4 Y 3.50, 4 Nd 3.54, 2 Dy 3.67-3.78
Nd2 0.0000 0.0000 0.6011  8 Dy 3.52-3.53, 2 Nd 3.73-3.79
Nd3 0.0000 0.0000 0.3989  8 Dy 3.52-3.53, 2 Nd 3.73-3.79
Y1 0.0000 0.0000 0.0000  8 Dy 3.50, 2 Nd 3.75
Dy3 0.5000 0.5000 0.5000  8 Nd 3.53, 2 Dy 3.77
Nd4 0.0000 0.0000 0.8001  8 Dy 3.51-3.54, 1 Nd 3.73, 1 Y 3.75
Dy4 0.5000 0.5000 0.2991  8 Nd 3.51-3.52, 2 Dy 3.77-3.78
Dy5 0.5000 0.5000 0.9023  4 Y 3.50, 4 Nd 3.54, 2 Dy 3.67-3.78

Entry 4:
VASP calculation (PBE) on a geometry-optimized Nd3Dy2Y structure.

Properties
Calculated volume: 401.89 Å³/cell
Formation energy: 0.018 eV/atom
Spin magnetization: 0.00 μB per formula unit
N(E_F): 17.5 states/eV/cell
Energy above the lowest structure with this stoichiometry: 0.000 eV per atom

Cell: 7.2402 6.2613 12.0048 Å, 110.30 90.00 125.32°
Closest atoms and distances in Å follow each position.
Fractional positions:
Nd1 0.0418 0.3337 0.0836  5 Dy 3.61-3.63, 3 Y 3.61-3.62, 4 Nd 3.62
Dy1 0.5412 0.3325 0.0825  2 Dy 3.61, 8 Nd 3.61-3.63, 2 Y 3.62
Nd2 0.6250 0.0000 0.2500  6 Dy 3.61-3.62, 4 Nd 3.62, 2 Y 3.62
Y1 0.8753 0.0000 0.7500  8 Nd 3.61-3.62, 4 Dy 3.62
Dy2 0.7913 0.3325 0.5825  2 Dy 3.61, 8 Nd 3.61-3.63, 2 Y 3.62
Nd3 0.3750 0.0000 0.7500  6 Dy 3.61-3.62, 4 Nd 3.62, 2 Y 3.62
Dy3 0.2087 0.6675 0.4175  2 Dy 3.61, 8 Nd 3.61-3.63, 2 Y 3.62
Nd4 0.2919 0.3337 0.5836  5 Dy 3.61-3.63, 3 Y 3.61-3.62, 4 Nd 3.62
Nd5 0.7081 0.6663 0.4164  5 Dy 3.61-3.63, 3 Y 3.61-3.62, 4 Nd 3.62
Y2 0.1247 0.0000 0.2500  8 Nd 3.61-3.62, 4 Dy 3.62
Nd6 0.9582 0.6663 0.9164  5 Dy 3.61-3.63, 3 Y 3.61-3.62, 4 Nd 3.62
Dy4 0.4588 0.6675 0.9175  2 Dy 3.61, 8 Nd 3.61-3.63, 2 Y 3.62